The following is a DFT calculation (GGA-PBE) of a geometry-optimized PuZrS3 structure.

a b c (Å): 7.0771 3.8291 14.8922
angles (deg): 90.00 90.00 90.00
With the nearest neighbours (Å) after each atom.
Space group Pnma (No. 62)
Asymmetric unit:
Pu 0.1226 0.2500 0.1982 [4 per cell]  6 S 2.76-2.80
Zr 0.2410 0.7500 0.4554 [4 per cell]  7 S 2.62-2.76
S 0.0070 0.2500 0.4015 [4 per cell]  3 Zr 2.66-2.76
S 0.1220 0.7500 0.0608 [4 per cell]  3 Zr 2.66-2.71, 2 Pu 2.80
S 0.1646 0.2500 0.7851 [4 per cell]  1 Zr 2.62, 4 Pu 2.76-2.80

Results
volume: 20.2 A^3/atom
mass density: 7101 kg/m³
total magnetization: 22.2 μB per cell
ΔE_f (raw): -1.6419 eV per atom